{
  "formula": "Li2Fe2OF4",
  "functional": "PBE+U",
  "state": "optimized geometry",
  "magmom_total_mub_per_atom": 0.889,
  "e_tot_ev_per_atom": -5.4142,
  "sg": "Cmc2_1 (36)",
  "cell": [[1.5128, -4.9705, 0.0000], [1.5128, 4.9705, 0.0000], [0.0000, 0.0000, 12.6562]],
  "species": ["Li", "Li", "Li", "Li", "Fe", "Fe", "Fe", "Fe", "O", "O", "F", "F", "F", "F", "F", "F", "F", "F"],
  "frac_coords": [[0.0042, 0.9958, 0.5000], [0.2708, 0.7292, 0.3896], [0.7292, 0.2708, 0.8896], [0.9958, 0.0042, 0.0000], [0.2583, 0.7417, 0.1177], [0.4610, 0.5390, 0.7688], [0.5390, 0.4610, 0.2688], [0.7417, 0.2583, 0.6177], [0.1674, 0.8326, 0.2548], [0.8326, 0.1674, 0.7548], [0.0816, 0.9184, 0.8571], [0.0876, 0.9124, 0.6457], [0.3525, 0.6475, 0.9678], [0.3654, 0.6346, 0.5377], [0.6346, 0.3654, 0.0377], [0.6475, 0.3525, 0.4678], [0.9124, 0.0876, 0.1457], [0.9184, 0.0816, 0.3571]]
}